(1)
Material: LaThAgC
Method: DFT, PBE
State: optimized geometry

## Properties
Its uncorrected energy is -6.27 eV/atom. The density of states at the Fermi level comes out at 3.03 states/eV/cell. The value obtained for the volume is 24.1 Å³ per atom.

Cell lengths 3.7406, 3.7262, 8.2777 Å; angles 90.02, 103.08, 120.03 degrees
Last column: nearest neighbours and their distance in Å.
Element x y z (fractional)
La 0.5107 0.1531 0.6801  3 C 2.68-2.69
Th 0.0910 0.9440 0.0482  3 C 2.53-2.54
Ag 0.9647 0.3797 0.3610  3 Th 3.30, 3 La 3.33-3.34
C 0.3114 0.5540 0.8803  3 Th 2.53-2.54, 3 La 2.68-2.69



(2)
Material: HfB3Ru
Method: DFT, PBE
State: optimized geometry

## Properties
Its uncorrected energy is -7.25 eV/atom. As for the relative energy among the computed polymorphs: 0.0 meV per atom. The density of states at the Fermi level comes out at 6.04 states/eV/cell. The value obtained for the volume is 12.5 Å³ per atom.

Cell lengths 3.9729, 3.9729, 3.9729 Å; angles 90.00, 90.00, 90.00 degrees
Last column: nearest neighbours and their distance in Å.
Element x y z (fractional)
Ru 0.0000 0.0000 0.0000  6 B 1.99
B 0.0000 0.5000 0.0000  2 Ru 1.99
B 0.0000 0.0000 0.5000  2 Ru 1.99
B 0.5000 0.0000 0.0000  2 Ru 1.99
Hf 0.5000 0.5000 0.5000  12 B 2.81



(3)
Material: Ce2BeNbN5
Method: DFT, PBE
State: optimized geometry

## Properties
Its uncorrected energy is -8.58 eV/atom. The density of states at the Fermi level comes out at 3.41 states/eV/cell. The calculation puts the formation energy without anion corrections at -1.104 eV/atom. The value obtained for the volume is 12.0 Å³ per atom.

Cell lengths 3.2357, 6.8978, 9.9275 Å; angles 90.00, 90.00, 103.56 degrees
Last column: nearest neighbours and their distance in Å.
Element x y z (fractional)
Ce 0.8743 0.7486 0.8318  7 N 2.36-2.55
Ce 0.1143 0.2286 0.6914  8 N 2.43-2.71
Ce 0.1257 0.2514 0.3318  7 N 2.36-2.55
Ce 0.8857 0.7714 0.1914  8 N 2.43-2.71
Be 0.5446 0.0893 0.9407  3 N 1.72-1.76
Be 0.4554 0.9107 0.4407  3 N 1.72-1.76
Nb 0.8082 0.6164 0.5196  6 N 2.08-2.17
Nb 0.1918 0.3836 0.0196  6 N 2.08-2.17
N 0.3467 0.6933 0.0152  1 Nb 2.08
N 0.6867 0.3735 0.8746  1 Be 2.02, 2 Nb 2.17
N 0.4962 0.9924 0.7801  1 Be 1.72
N 0.3000 0.6001 0.6617  2 Nb 2.15
N 0.9639 0.9277 0.5089  2 Be 1.76
N 0.6533 0.3067 0.5152  1 Nb 2.08
N 0.3133 0.6265 0.3746  1 Be 2.02, 2 Nb 2.17
N 0.5038 0.0076 0.2801  1 Be 1.72
N 0.7000 0.3999 0.1617  2 Nb 2.15
N 0.0361 0.0723 0.0089  2 Be 1.76



(4)
Material: K5Pa3O12
Method: DFT, PBE
State: optimized geometry

## Properties
Its uncorrected energy is -6.83 eV/atom. The density of states at the Fermi level comes out at 40.26 states/eV/cell. The calculation puts the formation energy without anion corrections at -2.161 eV/atom. The value obtained for the volume is 24.2 Å³ per atom.

Cell lengths 13.5908, 13.5908, 13.5908 Å; angles 109.47, 109.47, 109.47 degrees
Last column: nearest neighbours and their distance in Å.
Element x y z (fractional)
K 0.1250 0.3750 0.2500  4 O 2.80
K 0.0000 0.5000 0.0000  6 O 2.66
K 0.0000 0.0000 0.0000  6 O 2.66
K 0.3750 0.2500 0.1250  4 O 2.80
K 0.5000 0.0000 0.5000  6 O 2.66
K 0.5000 0.5000 0.0000  6 O 2.66
K 0.1250 0.7500 0.3750  4 O 2.80
K 0.7500 0.1250 0.8750  4 O 2.80
K 0.7500 0.6250 0.3750  4 O 2.80
K 0.3750 0.1250 0.7500  4 O 2.80
K 0.6250 0.8750 0.2500  4 O 2.80
K 0.5000 0.5000 0.5000  6 O 2.66
K 0.5000 0.0000 0.0000  6 O 2.66
K 0.0000 0.0000 0.5000  6 O 2.66
K 0.2500 0.3750 0.6250  4 O 2.80
K 0.2500 0.8750 0.1250  4 O 2.80
K 0.0000 0.5000 0.5000  6 O 2.66
K 0.8750 0.2500 0.6250  4 O 2.80
K 0.6250 0.7500 0.8750  4 O 2.80
K 0.8750 0.6250 0.7500  4 O 2.80
Pa 0.7500 0.3750 0.1250  4 O 1.98
Pa 0.8750 0.7500 0.1250  4 O 1.98
Pa 0.3750 0.7500 0.6250  4 O 1.98
Pa 0.2500 0.1250 0.3750  4 O 1.98
Pa 0.8750 0.1250 0.2500  4 O 1.98
Pa 0.3750 0.6250 0.2500  4 O 1.98
Pa 0.6250 0.3750 0.7500  4 O 1.98
Pa 0.1250 0.8750 0.7500  4 O 1.98
Pa 0.7500 0.8750 0.6250  4 O 1.98
Pa 0.6250 0.2500 0.3750  4 O 1.98
Pa 0.1250 0.2500 0.8750  4 O 1.98
Pa 0.2500 0.6250 0.8750  4 O 1.98
O 0.6537 0.1980 0.0192  1 Pa 1.98
O 0.3656 0.5192 0.3212  1 Pa 1.98
O 0.9808 0.3020 0.3463  1 Pa 1.98
O 0.5192 0.1537 0.1980  1 Pa 1.98
O 0.4556 0.6537 0.6344  1 Pa 1.98
O 0.9808 0.6788 0.1344  1 Pa 1.98
O 0.3656 0.8463 0.5444  1 Pa 1.98
O 0.1788 0.0444 0.1980  1 Pa 1.98
O 0.6788 0.9808 0.6344  1 Pa 1.98
O 0.6537 0.4556 0.1344  1 Pa 1.98
O 0.8463 0.4808 0.3020  1 Pa 1.98
O 0.8656 0.8212 0.0192  1 Pa 1.98
O 0.1980 0.6537 0.5192  1 Pa 1.98
O 0.3020 0.3212 0.9556  1 Pa 1.98
O 0.9556 0.8212 0.3020  1 Pa 1.98
O 0.5444 0.1980 0.6788  1 Pa 1.98
O 0.9556 0.1344 0.1537  1 Pa 1.98
O 0.4808 0.6344 0.1788  1 Pa 1.98
O 0.8656 0.0444 0.3463  1 Pa 1.98
O 0.1980 0.5444 0.1788  1 Pa 1.98
O 0.3020 0.9808 0.8463  1 Pa 1.98
O 0.6788 0.6980 0.5444  1 Pa 1.98
O 0.8212 0.8656 0.5192  1 Pa 1.98
O 0.8463 0.3656 0.0444  1 Pa 1.98
O 0.3212 0.3020 0.4556  1 Pa 1.98
O 0.1788 0.1344 0.4808  1 Pa 1.98
O 0.1537 0.6344 0.9556  1 Pa 1.98
O 0.1344 0.9556 0.6537  1 Pa 1.98
O 0.6980 0.0192 0.1537  1 Pa 1.98
O 0.8020 0.4556 0.8212  1 Pa 1.98
O 0.5192 0.3656 0.8212  1 Pa 1.98
O 0.4556 0.8020 0.3212  1 Pa 1.98
O 0.0444 0.8656 0.8463  1 Pa 1.98
O 0.0444 0.1788 0.6980  1 Pa 1.98
O 0.8020 0.3463 0.4808  1 Pa 1.98
O 0.1344 0.1788 0.9808  1 Pa 1.98
O 0.6980 0.6788 0.0444  1 Pa 1.98
O 0.3212 0.0192 0.3656  1 Pa 1.98
O 0.3463 0.5444 0.8656  1 Pa 1.98
O 0.1537 0.5192 0.6980  1 Pa 1.98
O 0.8212 0.9556 0.8020  1 Pa 1.98
O 0.6344 0.1537 0.4556  1 Pa 1.98
O 0.4808 0.8463 0.8020  1 Pa 1.98
O 0.0192 0.3212 0.8656  1 Pa 1.98
O 0.5444 0.3463 0.3656  1 Pa 1.98
O 0.0192 0.6980 0.6537  1 Pa 1.98
O 0.6344 0.4808 0.6788  1 Pa 1.98
O 0.3463 0.8020 0.9808  1 Pa 1.98



(5)
Material: Er3Ga2
Method: DFT, PBE
State: optimized geometry

## Properties
Its uncorrected energy is -4.36 eV/atom. The density of states at the Fermi level comes out at 9.45 states/eV/cell. The value obtained for the volume is 25.7 Å³ per atom.

Cell lengths 3.6310, 11.6919, 12.1128 Å; angles 90.00, 90.00, 90.00 degrees
Last column: nearest neighbours and their distance in Å.
Element x y z (fractional)
Er 0.2500 0.6264 0.5333  5 Ga 2.91-2.99
Er 0.2500 0.8736 0.0333  5 Ga 2.91-2.99
Er 0.7500 0.3736 0.4667  5 Ga 2.91-2.99
Er 0.7500 0.1264 0.9667  5 Ga 2.91-2.99
Er 0.7500 0.0341 0.6279  5 Ga 2.95-2.96
Er 0.7500 0.4659 0.1279  5 Ga 2.95-2.96
Er 0.2500 0.9659 0.3721  5 Ga 2.95-2.96
Er 0.2500 0.5341 0.8721  5 Ga 2.95-2.96
Er 0.2500 0.2717 0.7343  5 Ga 3.05-3.36
Er 0.2500 0.2283 0.2343  5 Ga 3.05-3.36
Er 0.7500 0.7283 0.2657  5 Ga 3.05-3.36
Er 0.7500 0.7717 0.7657  5 Ga 3.05-3.36
Ga 0.2500 0.1815 0.4980  7 Er 2.91-3.24
Ga 0.2500 0.3185 0.9980  7 Er 2.91-3.24
Ga 0.7500 0.8185 0.5020  7 Er 2.91-3.24
Ga 0.7500 0.6815 0.0020  7 Er 2.91-3.24
Ga 0.7500 0.4978 0.6824  7 Er 2.96-3.27
Ga 0.7500 0.0022 0.1824  7 Er 2.96-3.27
Ga 0.2500 0.5022 0.3176  7 Er 2.96-3.27
Ga 0.2500 0.9978 0.8176  7 Er 2.96-3.27